# NaAc5Hg4

Crystalline NaAc5Hg4 at its relaxed geometry (PBE, the Alexandria database).

abc: 4.0753 4.0753 20.7930
angles: 90.00 90.00 90.00
Last column: nearest neighbours and their distance in Å.
Space group P4/mmm (No. 123)
One atom of each set of equivalent atoms:
Na  0.0000  0.0000  0.0000 [1 per cell]  8 Ac 3.79, 4 Na 4.08
Ac  0.5000  0.5000  0.1184 [2 per cell]  4 Hg 3.43, 4 Na 3.79
Ac  0.5000  0.5000  0.3071 [2 per cell]  8 Hg 3.50-3.54
Ac  0.5000  0.5000  0.5000 [1 per cell]  8 Hg 3.52
Hg  0.0000  0.0000  0.2082 [2 per cell]  8 Ac 3.43-3.54
Hg  0.0000  0.0000  0.4028 [2 per cell]  8 Ac 3.50-3.52

## Properties
Formation enthalpy at 0 K   -0.34 eV per atom

# BaCoMo

Crystalline BaCoMo at its relaxed geometry (PBE, the Alexandria database).

abc: 6.7696 6.7696 6.7696
angles: 90.00 90.00 90.00
Last column: nearest neighbours and their distance in Å.
Space group F-43m (No. 216)
One atom of each set of equivalent atoms:
Ba  0.0000  0.0000  0.0000 [4 per cell]  4 Co 2.93, 4 Mo 2.93
Co  0.2500  0.2500  0.2500 [4 per cell]  4 Ba 2.93
Mo  0.2500  0.2500  0.7500 [4 per cell]  4 Ba 2.93

## Properties
Formation enthalpy at 0 K   2.22 eV per atom

# Pr2DyTe4

Crystalline Pr2DyTe4 at its relaxed geometry (PBE, the Alexandria database).

abc: 4.3049 14.8900 15.3366
angles: 90.00 90.00 90.00
Last column: nearest neighbours and their distance in Å.
Space group Cmcm (No. 63)
One atom of each set of equivalent atoms:
Pr  0.0000  0.1317  0.0715 [8 per cell]  6 Te 3.11-3.28
Dy  0.0000  0.3714  0.2500 [4 per cell]  6 Te 3.11-3.16
Te  0.0000  0.0218  0.2500 [4 per cell]  2 Dy 3.11, 2 Pr 3.19
Te  0.0000  0.2171  0.6260 [8 per cell]  2 Dy 3.16, 3 Pr 3.23-3.28
Te  0.0000  0.5000  0.0000 [4 per cell]  4 Pr 3.11

# HfGa2Co2

Crystalline HfGa2Co2 at its relaxed geometry (PBE, the Alexandria database).

abc: 7.0298 7.0298 2.8395
angles: 90.00 90.00 90.00
Last column: nearest neighbours and their distance in Å.
Space group P4/mbm (No. 127)
One atom of each set of equivalent atoms:
Hf  0.0000  0.0000  0.0000 [2 per cell]  4 Co 2.72, 2 Hf 2.84, 8 Ga 3.01
Ga  0.1548  0.3452  0.5000 [4 per cell]  6 Co 2.49-2.51
Co  0.1400  0.6400  0.0000 [4 per cell]  6 Ga 2.49-2.51, 2 Hf 2.72, 1 Co 2.78

## Properties
Formation enthalpy at 0 K   -0.28 eV per atom

no.,E (eV for the cell shown),magnetic moment (μB per formula unit)
1,-26.5,1.3
2,-52.8,4.6
3,-145.3,0.0
4,-63.3,0.0